No. 1
AcPrSmBi: relaxed, GGA-PBE.

Computed properties:
SG	F-43m, No. 216
electronic total energy	-4.590	eV/atom
formation enthalpy at 0 K	-0.22	eV per atom
volume	33.5	A^3/atom
DOS at the Fermi energy	0.777	states/eV per atom

a b c (Å): 5.7413 5.7413 5.7413
angles (deg): 60.00 60.00 60.00
Positions (direct):
Bi (0.2500, 0.2500, 0.2500)
Sm (0.5000, 0.5000, 0.5000)
Pr (0.0000, 0.0000, 0.0000)
Ac (0.7500, 0.7500, 0.7500)

No. 2
AcPr2SmBi4: relaxed, GGA-PBE.

Computed properties:
SG	P2/m, No. 10
electronic total energy	-5.184	eV/atom
formation enthalpy at 0 K	-0.95	eV per atom
volume	36.4	A^3/atom
DOS at the Fermi energy	0.124	states/eV per atom

a b c (Å): 4.6867 8.1140 8.1107
angles (deg): 70.58 90.00 90.00
Positions (direct):
Bi (0.5000, 0.2433, 0.7601)
Bi (0.0000, 0.7506, 0.7576)
Bi (0.0000, 0.2494, 0.2424)
Bi (0.5000, 0.7567, 0.2399)
Pr (0.0000, 0.0000, 0.0000)
Pr (0.5000, 0.0000, 0.5000)
Sm (0.5000, 0.5000, 0.0000)
Ac (0.0000, 0.5000, 0.5000)

No. 3
AcPrSnBi: relaxed, GGA-PBE.

Computed properties:
SG	F-43m, No. 216
electronic total energy	-4.809	eV/atom
formation enthalpy at 0 K	-0.62	eV per atom
volume	33.6	A^3/atom
DOS at the Fermi energy	1.310	states/eV per atom

a b c (Å): 5.7492 5.7492 5.7492
angles (deg): 60.00 60.00 60.00
Positions (direct):
Sn (0.0000, 0.0000, 0.0000)
Pr (0.2500, 0.2500, 0.2500)
Ac (0.7500, 0.7500, 0.7500)
Bi (0.5000, 0.5000, 0.5000)

No. 4
AcTbPr2Bi4: relaxed, GGA-PBE.

Computed properties:
SG	P2/m, No. 10
electronic total energy	-5.155	eV/atom
formation enthalpy at 0 K	-0.93	eV per atom
volume	36.0	A^3/atom
DOS at the Fermi energy	0.119	states/eV per atom

a b c (Å): 4.6733 8.0895 8.0829
angles (deg): 70.58 90.00 90.00
Positions (direct):
Bi (0.5000, 0.2523, 0.7396)
Bi (0.0000, 0.7550, 0.7383)
Bi (0.0000, 0.2450, 0.2617)
Bi (0.5000, 0.7477, 0.2604)
Pr (0.0000, 0.0000, 0.0000)
Pr (0.5000, 0.0000, 0.5000)
Tb (0.0000, 0.5000, 0.5000)
Ac (0.5000, 0.5000, 0.0000)

No. 5
Ac2Pr2Bi3Te2: relaxed, GGA-PBE.

Computed properties:
SG	I4/mmm, No. 139
electronic total energy	-4.739	eV/atom
volume	38.4	A^3/atom
uncorrected formation energy	-74.5	kJ per mole of atoms
DOS at the Fermi energy	0.732	states/eV per atom

a b c (Å): 6.3985 6.3985 9.5852
angles (deg): 109.50 109.50 90.00
Positions (direct):
Pr (0.5000, 0.0000, 0.0000)
Pr (0.0000, 0.5000, 0.0000)
Bi (0.0000, 0.0000, 0.0000)
Bi (0.2500, 0.7500, 0.5000)
Bi (0.7500, 0.2500, 0.5000)
Ac (0.2036, 0.2036, 0.4071)
Ac (0.7964, 0.7964, 0.5929)
Te (0.4032, 0.4032, 0.8065)
Te (0.5968, 0.5968, 0.1935)

No. 6
AcPrTh2Bi4: relaxed, GGA-PBE.

Computed properties:
SG	I-4m2, No. 119
electronic total energy	-5.670	eV/atom
formation enthalpy at 0 K	-0.76	eV per atom
volume	36.1	A^3/atom
DOS at the Fermi energy	0.460	states/eV per atom

a b c (Å): 6.6118 6.6118 8.0934
angles (deg): 114.11 114.11 90.00
Positions (direct):
Bi (0.7556, 0.7556, 0.5113)
Bi (0.0020, 0.5020, 0.0041)
Bi (0.4980, 0.9980, 0.9959)
Bi (0.2444, 0.2444, 0.4887)
Th (0.0000, 0.0000, 0.0000)
Th (0.2500, 0.7500, 0.5000)
Ac (0.5000, 0.5000, 0.0000)
Pr (0.7500, 0.2500, 0.5000)

No. 7
AcPr2TmBi4: relaxed, GGA-PBE.

Computed properties:
SG	P2/m, No. 10
electronic total energy	-5.102	eV/atom
formation enthalpy at 0 K	-0.89	eV per atom
volume	35.7	A^3/atom
DOS at the Fermi energy	0.116	states/eV per atom

a b c (Å): 4.6619 8.0722 8.0559
angles (deg): 70.57 90.00 90.00
Positions (direct):
Tm (0.5000, 0.5000, 0.0000)
Bi (0.5000, 0.7538, 0.2369)
Bi (0.5000, 0.2462, 0.7631)
Bi (0.0000, 0.7447, 0.7635)
Bi (0.0000, 0.2554, 0.2365)
Pr (0.5000, 0.0000, 0.5000)
Pr (0.0000, 0.0000, 0.0000)
Ac (0.0000, 0.5000, 0.5000)

No. 8
Ac2PrTmBi4: relaxed, GGA-PBE.

Computed properties:
SG	P2/m, No. 10
electronic total energy	-5.041	eV/atom
formation enthalpy at 0 K	-0.92	eV per atom
volume	37.0	A^3/atom
DOS at the Fermi energy	0.129	states/eV per atom

a b c (Å): 4.7171 8.1618 8.1571
angles (deg): 109.51 90.00 90.00
Positions (direct):
Ac (0.0000, 0.5000, 0.5000)
Ac (0.5000, 0.0000, 0.5000)
Bi (0.0000, 0.2497, 0.7671)
Bi (0.5000, 0.2365, 0.2282)
Bi (0.0000, 0.7503, 0.2329)
Bi (0.5000, 0.7635, 0.7718)
Tm (0.0000, 0.0000, 0.0000)
Pr (0.5000, 0.5000, 0.0000)